PaC2O8F | GGA-PBE | relaxed

The calculation puts the density of states at the Fermi level at 0.000 states/eV per atom. The value obtained for the formation energy (no corrections) is -1.56 eV per atom.

The space group is C2/m (No. 12) and the conventional cell measures 9.5767, 8.1483 and 4.8735 Å, with angles of 90.00, 98.58 and 90.00 degrees. The inequivalent atoms are Pa at (0.0000, 0.0000, 0.0000), C at (0.2012, 0.5000, 0.3077), O at (0.0208, 0.2443, 0.1515), O at (0.1663, 0.5000, 0.5264), O at (0.2435, 0.5000, 0.0910) and F at (0.0000, 0.0000, 0.5000).



CdTc3 | GGA-PBE | relaxed

As for the formation energy: 0.494 eV/atom. The calculation puts the density of states at the Fermi level at 1.048 states/eV per atom. The energy above the most stable polymorph in this dataset comes out at 0.2925 eV/atom.

The space group is Cmmm (No. 65) and the conventional cell measures 5.5335, 8.0255 and 2.8167 Å, with angles of 90.00, 90.00 and 90.00 degrees. The inequivalent atoms are Cd at (0.0000, 0.0000, 0.0000), Tc at (0.0000, 0.5000, 0.0000) and Tc at (0.2500, 0.2500, 0.5000).



Rb2ZrNi2S4 | GGA-PBE | relaxed

The calculation puts the density of states at the Fermi level at 0.718 states/eV per atom. The value obtained for the formation energy (no corrections) is -1.04 eV per atom.

The space group is C2/m (No. 12) and the conventional cell measures 13.8242, 3.7402 and 7.8284 Å, with angles of 90.00, 107.36 and 90.00 degrees. The inequivalent atoms are Rb at (0.1357, 0.0000, 0.0564), Zr at (0.0000, 0.0000, 0.5000), Ni at (0.1809, 0.5000, 0.4916), S at (0.0216, 0.5000, 0.2813) and S at (0.1973, 0.0000, 0.6586).